LiCo2O4: relaxed, PBE with a Hubbard U.

abc: 4.8271 2.8538 5.0970
angles: 90.00 107.00 90.00
With the nearest neighbours (Å) after each atom.
Space group P2/m (No. 10)
Symmetry-distinct sites (fractional):
Li1 0.0000 0.0000 0.0000 (multiplicity 1)  6 O 2.14-2.20
Co1 0.0000 0.5000 0.5000 (multiplicity 1)  6 O 1.90
Co2 0.5000 0.0000 0.5000 (multiplicity 1)  6 O 1.87-1.92
O1 0.2292 0.0000 0.6978 (multiplicity 2)  3 Co 1.87-1.90
O2 0.2699 0.5000 0.2932 (multiplicity 2)  3 Co 1.90-1.92

Summary:
The value obtained for the total energy is -5.687 eV/atom. The volume comes out at 67 Å³ per cell. The energy above the most stable polymorph in this dataset comes out at 34 meV/atom. The total magnetization is 0.98 μB/cell.